VASP calculation (PBE) on crystalline Ac5Nd12Al3 at its relaxed geometry.

Summary:
Its calculated volume is 6721.9 Å³/cell. The formation energy is 0.734 eV per atom.

Lattice parameters (Å, degrees): 18.8726 18.8726 18.8726 90.00 90.00 90.00
Closest atoms and distances in Å follow each position.
Space group Ia-3d (No. 230)
Unique sites:
Ac (0.0000, 0.0000, 0.0000) (multiplicity 16)  6 Nd 3.32
Ac (0.0000, 0.2500, 0.3750) (multiplicity 24)  4 Nd 3.39
Nd (0.0044, 0.0893, 0.6516) (multiplicity 96)  1 Nd 3.06, 1 Al 3.08, 2 Ac 3.32-3.39
Al (0.0000, 0.2500, 0.1250) (multiplicity 24)  4 Nd 3.08

=====

VASP calculation (PBE) on crystalline Ac2NdAl at its relaxed geometry.

Summary:
Its calculated volume is 143.0 Å³/cell. The formation energy is -0.080 eV per atom. Its energy relative to the lowest polymorph listed for this composition is 0.0000 eV per atom.

Lattice parameters (Å, degrees): 3.9524 3.9524 9.1554 90.00 90.00 90.00
Closest atoms and distances in Å follow each position.
Space group P4/mmm (No. 123)
Unique sites:
Ac (0.0000, 0.0000, 0.2095) (multiplicity 2)  4 Al 3.39
Nd (0.5000, 0.5000, 0.5000) (multiplicity 1)  8 Ac 3.86, 4 Nd 3.95
Al (0.5000, 0.5000, 0.0000) (multiplicity 1)  8 Ac 3.39

=====

VASP calculation (PBE) on crystalline Ac2NdAl2 at its relaxed geometry.

Summary:
Its calculated volume is 331.8 Å³/cell. The formation energy is -0.203 eV per atom.

Lattice parameters (Å, degrees): 4.9955 6.9552 9.5490 90.00 90.00 90.00
Closest atoms and distances in Å follow each position.
Space group Immm (No. 71)
Unique sites:
Ac (0.0000, 0.0000, 0.2005) (multiplicity 4)  6 Al 3.44-3.54, 2 Nd 3.80, 1 Ac 3.83
Nd (0.0000, 0.5000, 0.0000) (multiplicity 2)  4 Al 3.25
Al (0.0000, 0.3000, 0.5000) (multiplicity 4)  1 Al 2.78

=====

VASP calculation (PBE) on crystalline Ac3NdAl8 at its relaxed geometry.

Summary:
Its calculated volume is 852.4 Å³/cell. The formation energy is -0.388 eV per atom.

Lattice parameters (Å, degrees): 5.8605 5.8605 28.6598 90.00 90.00 120.00
Closest atoms and distances in Å follow each position.
Space group R3m (No. 160, hexagonal axes)
Unique sites:
Ac (0.0000, 0.0000, 0.0000) (multiplicity 3)  12 Al 3.39-3.44, 3 Nd 3.58, 1 Ac 3.59
Ac (0.0000, 0.0000, 0.1251) (multiplicity 3)  12 Al 3.44-3.47, 4 Ac 3.59
Ac (0.0000, 0.0000, 0.5000) (multiplicity 3)  12 Al 3.43-3.47, 3 Ac 3.59, 1 Nd 3.60
Nd (0.0000, 0.0000, 0.6255) (multiplicity 3)  12 Al 3.38-3.43, 4 Ac 3.58-3.60
Al (0.0000, 0.0000, 0.3122) (multiplicity 3)  6 Al 2.88-2.90
Al (0.0000, 0.0000, 0.8131) (multiplicity 3)  6 Al 2.95-2.97
Al (0.0007, 0.5003, 0.5641) (multiplicity 9)  6 Al 2.88-2.95
Al (0.1672, 0.3344, 0.3944) (multiplicity 9)  6 Al 2.90-2.97

=====

VASP calculation (PBE) on crystalline AcNd2Al at its relaxed geometry.

Summary:
Its calculated volume is 130.2 Å³/cell. The formation energy is -0.142 eV per atom. Its energy relative to the lowest polymorph listed for this composition is 0.0000 eV per atom.

Lattice parameters (Å, degrees): 3.7180 3.7180 9.4210 90.00 90.00 90.00
Closest atoms and distances in Å follow each position.
Space group P4/mmm (No. 123)
Unique sites:
Ac (0.0000, 0.0000, 0.0000) (multiplicity 1)  4 Ac 3.72, 8 Nd 3.84
Nd (0.5000, 0.5000, 0.2968) (multiplicity 2)  4 Al 3.25
Al (0.0000, 0.0000, 0.5000) (multiplicity 1)  8 Nd 3.25

=====

VASP calculation (PBE) on crystalline AcNdAl3 at its relaxed geometry.

Summary:
Its calculated volume is 559.6 Å³/cell. The formation energy is -0.376 eV per atom.

Lattice parameters (Å, degrees): 4.6310 27.2087 4.4411 90.00 90.00 90.00
Closest atoms and distances in Å follow each position.
Space group Cmcm (No. 63)
Unique sites:
Ac (0.0000, 0.0740, 0.2500) (multiplicity 4)  12 Al 3.46-3.59
Nd (0.0000, 0.2040, 0.7500) (multiplicity 4)  7 Al 3.23-3.31
Al (0.0000, 0.3253, 0.7500) (multiplicity 4)  2 Al 2.65
Al (0.0000, 0.3787, 0.2500) (multiplicity 4)  3 Al 2.64-2.65
Al (0.0000, 0.4757, 0.2500) (multiplicity 4)  3 Al 2.58-2.64

=====

VASP calculation (PBE) on crystalline AcNd2Al at its relaxed geometry.

Summary:
Its calculated volume is 506.2 Å³/cell. The formation energy is 0.043 eV per atom. Its energy relative to the lowest polymorph listed for this composition is 0.1850 eV per atom.

Lattice parameters (Å, degrees): 7.9696 7.9696 7.9696 90.00 90.00 90.00
Closest atoms and distances in Å follow each position.
Space group Fm-3m (No. 225)
Unique sites:
Ac (0.0000, 0.0000, 0.0000) (multiplicity 4)  8 Nd 3.45
Nd (0.2500, 0.2500, 0.2500) (multiplicity 8)  4 Ac 3.45, 4 Al 3.45
Al (0.0000, 0.0000, 0.5000) (multiplicity 4)  8 Nd 3.45

=====

VASP calculation (PBE) on crystalline AcNd2AlO6 at its relaxed geometry.

Summary:
Its calculated volume is 165.1 Å³/cell. Its energy relative to the elements, uncorrected is -3023.8 meV per atom.

Lattice parameters (Å, degrees): 5.4351 5.4351 5.5904 90.00 90.00 90.00
Closest atoms and distances in Å follow each position.
Space group P4mm (No. 99)
Unique sites:
Ac (0.0000, 0.0000, 0.0000) (multiplicity 1)  5 O 2.38-2.39
Nd (0.0000, 0.5000, 0.4485) (multiplicity 2)  4 O 2.35
Al (0.5000, 0.5000, 0.0833) (multiplicity 1)  5 O 1.82-1.89
O (0.0000, 0.0000, 0.5735) (multiplicity 1)  1 Ac 2.38
O (0.2713, 0.2713, 0.2093) (multiplicity 4)  1 Al 1.89
O (0.5000, 0.5000, 0.7583) (multiplicity 1)  1 Al 1.82

=====

VASP calculation (PBE) on crystalline AcNdAlPb at its relaxed geometry.

Summary:
Its calculated volume is 500.3 Å³/cell. The formation energy is -0.316 eV per atom.

Lattice parameters (Å, degrees): 7.9387 7.9387 7.9387 90.00 90.00 90.00
Closest atoms and distances in Å follow each position.
Space group F-43m (No. 216)
Unique sites:
Ac (0.0000, 0.0000, 0.0000) (multiplicity 4)  4 Pb 3.44, 4 Al 3.44
Nd (0.0000, 0.0000, 0.5000) (multiplicity 4)  4 Al 3.44, 4 Pb 3.44
Al (0.2500, 0.2500, 0.2500) (multiplicity 4)  4 Ac 3.44, 4 Nd 3.44
Pb (0.2500, 0.2500, 0.7500) (multiplicity 4)  4 Ac 3.44, 4 Nd 3.44

=====

VASP calculation (PBE) on crystalline Ac2NdAl4Pd3 at its relaxed geometry.

Summary:
Its calculated volume is 233.5 Å³/cell. The formation energy is -0.622 eV per atom.

Lattice parameters (Å, degrees): 4.4680 4.4680 11.6946 90.00 90.00 90.00
Closest atoms and distances in Å follow each position.
Space group P-4m2 (No. 115)
Unique sites:
Ac (0.0000, 0.5000, 0.2289) (multiplicity 2)  8 Al 3.36-3.49, 4 Pd 3.44
Nd (0.0000, 0.0000, 0.5000) (multiplicity 1)  4 Al 3.01, 4 Pd 3.16
Al (0.0000, 0.0000, 0.0000) (multiplicity 1)  4 Pd 2.59
Al (0.0000, 0.5000, 0.6730) (multiplicity 2)  1 Pd 2.51
Al (0.5000, 0.5000, 0.0000) (multiplicity 1)  4 Pd 2.59
Pd (0.0000, 0.5000, 0.8881) (multiplicity 2)  5 Al 2.51-2.59
Pd (0.5000, 0.5000, 0.5000) (multiplicity 1)  4 Al 3.01, 4 Nd 3.16

=====

VASP calculation (PBE) on crystalline AcNdAl2Pd5 at its relaxed geometry.

Summary:
Its calculated volume is 180.5 Å³/cell. The formation energy is -0.783 eV per atom.

Lattice parameters (Å, degrees): 4.4247 4.4247 9.2185 90.00 90.00 90.00
Closest atoms and distances in Å follow each position.
Space group P4/mmm (No. 123)
Unique sites:
Ac (0.0000, 0.0000, 0.0000) (multiplicity 1)  12 Pd 3.08-3.13
Nd (0.0000, 0.0000, 0.5000) (multiplicity 1)  8 Pd 3.31, 8 Al 3.40
Al (0.5000, 0.5000, 0.3546) (multiplicity 2)  4 Pd 2.48, 1 Al 2.68
Pd (0.0000, 0.5000, 0.2330) (multiplicity 4)  2 Al 2.48
Pd (0.5000, 0.5000, 0.0000) (multiplicity 1)  8 Pd 3.08, 4 Ac 3.13, 2 Al 3.27

=====

VASP calculation (PBE) on crystalline AcNdAlPd at its relaxed geometry.

Summary:
Its calculated volume is 440.3 Å³/cell. The formation energy is -0.408 eV per atom.

Lattice parameters (Å, degrees): 7.6076 7.6076 7.6076 90.00 90.00 90.00
Closest atoms and distances in Å follow each position.
Space group F-43m (No. 216)
Unique sites:
Ac (0.0000, 0.0000, 0.0000) (multiplicity 4)  4 Al 3.29, 4 Pd 3.29
Nd (0.0000, 0.0000, 0.5000) (multiplicity 4)  4 Pd 3.29, 4 Al 3.29
Al (0.2500, 0.2500, 0.7500) (multiplicity 4)  4 Ac 3.29, 4 Nd 3.29
Pd (0.2500, 0.2500, 0.2500) (multiplicity 4)  4 Ac 3.29, 4 Nd 3.29

=====

VASP calculation (PBE) on crystalline AcPmNdAl at its relaxed geometry.

Summary:
Its calculated volume is 502.1 Å³/cell. The formation energy is 0.045 eV per atom.

Lattice parameters (Å, degrees): 7.9482 7.9482 7.9482 90.00 90.00 90.00
Closest atoms and distances in Å follow each position.
Space group F-43m (No. 216)
Unique sites:
Ac (0.0000, 0.0000, 0.0000) (multiplicity 4)  4 Nd 3.44, 4 Pm 3.44
Pm (0.2500, 0.2500, 0.2500) (multiplicity 4)  4 Ac 3.44, 4 Al 3.44
Nd (0.2500, 0.2500, 0.7500) (multiplicity 4)  4 Ac 3.44, 4 Al 3.44
Al (0.0000, 0.0000, 0.5000) (multiplicity 4)  4 Nd 3.44, 4 Pm 3.44

=====

VASP calculation (PBE) on crystalline AcPrNdAl at its relaxed geometry.

Summary:
Its calculated volume is 510.4 Å³/cell. The formation energy is 0.041 eV per atom.

Lattice parameters (Å, degrees): 7.9915 7.9915 7.9915 90.00 90.00 90.00
Closest atoms and distances in Å follow each position.
Space group F-43m (No. 216)
Unique sites:
Ac (0.0000, 0.0000, 0.0000) (multiplicity 4)  4 Pr 3.46, 4 Nd 3.46
Pr (0.2500, 0.2500, 0.2500) (multiplicity 4)  4 Ac 3.46, 4 Al 3.46
Nd (0.2500, 0.2500, 0.7500) (multiplicity 4)  4 Ac 3.46, 4 Al 3.46
Al (0.0000, 0.0000, 0.5000) (multiplicity 4)  4 Pr 3.46, 4 Nd 3.46

=====

VASP calculation (PBE) on crystalline AcNdAlPt at its relaxed geometry.

Summary:
Its calculated volume is 357.9 Å³/cell. The formation energy is -0.677 eV per atom. Its energy relative to the lowest polymorph listed for this composition is 0.0000 eV per atom.

Lattice parameters (Å, degrees): 4.5036 4.5036 20.3753 90.00 90.00 120.00
Closest atoms and distances in Å follow each position.
Space group R3m (No. 160, hexagonal axes)
Unique sites:
Ac (0.0000, 0.0000, 0.0000) (multiplicity 3)  3 Pt 3.22, 3 Al 3.36
Nd (0.0000, 0.0000, 0.8180) (multiplicity 3)  3 Al 3.05, 3 Pt 3.16
Al (0.0000, 0.0000, 0.2292) (multiplicity 3)  3 Pt 2.61
Pt (0.0000, 0.0000, 0.5733) (multiplicity 3)  3 Al 2.61

=====

VASP calculation (PBE) on crystalline Ac2NdAl4Pt3 at its relaxed geometry.

Summary:
Its calculated volume is 228.8 Å³/cell. The formation energy is -0.838 eV per atom.

Lattice parameters (Å, degrees): 4.4431 4.4431 11.5914 90.00 90.00 90.00
Closest atoms and distances in Å follow each position.
Space group P-4m2 (No. 115)
Unique sites:
Ac (0.0000, 0.5000, 0.2292) (multiplicity 2)  8 Al 3.35-3.46, 4 Pt 3.41
Nd (0.0000, 0.0000, 0.5000) (multiplicity 1)  4 Al 2.97, 4 Pt 3.14
Al (0.0000, 0.0000, 0.0000) (multiplicity 1)  4 Pt 2.59
Al (0.0000, 0.5000, 0.6703) (multiplicity 2)  1 Pt 2.49
Al (0.5000, 0.5000, 0.0000) (multiplicity 1)  4 Pt 2.59
Pt (0.0000, 0.5000, 0.8851) (multiplicity 2)  5 Al 2.49-2.59
Pt (0.5000, 0.5000, 0.5000) (multiplicity 1)  4 Al 2.97, 4 Nd 3.14

=====

VASP calculation (PBE) on crystalline AcNdAlPt at its relaxed geometry.

Summary:
Its calculated volume is 434.1 Å³/cell. The formation energy is -0.527 eV per atom. Its energy relative to the lowest polymorph listed for this composition is 0.1499 eV per atom.

Lattice parameters (Å, degrees): 7.5718 7.5718 7.5718 90.00 90.00 90.00
Closest atoms and distances in Å follow each position.
Space group F-43m (No. 216)
Unique sites:
Ac (0.0000, 0.0000, 0.0000) (multiplicity 4)  4 Pt 3.28, 4 Al 3.28
Nd (0.0000, 0.0000, 0.5000) (multiplicity 4)  4 Al 3.28, 4 Pt 3.28
Al (0.2500, 0.2500, 0.2500) (multiplicity 4)  4 Ac 3.28, 4 Nd 3.28
Pt (0.2500, 0.2500, 0.7500) (multiplicity 4)  4 Ac 3.28, 4 Nd 3.28

=====

VASP calculation (PBE) on crystalline AcNdAlSi at its relaxed geometry.

Summary:
Its calculated volume is 225.9 Å³/cell. Its energy relative to the lowest polymorph listed for this composition is 0.0000 eV per atom. Its energy relative to the elements, uncorrected is -527.4 meV per atom.

Lattice parameters (Å, degrees): 4.1650 4.6008 11.7873 90.00 90.00 90.00
Closest atoms and distances in Å follow each position.
Space group Amm2 (No. 38)
Unique sites:
Ac (0.0000, 0.0000, 0.0000) (multiplicity 2)  4 Si 3.25, 3 Al 3.38-3.41
Nd (0.5000, 0.0000, 0.7173) (multiplicity 2)  4 Al 3.21, 3 Si 3.29-3.54
Al (0.0000, 0.0000, 0.2870) (multiplicity 2)  2 Si 2.59
Si (0.5000, 0.0000, 0.4172) (multiplicity 2)  2 Al 2.59

=====

VASP calculation (PBE) on crystalline AcNdAlSi at its relaxed geometry.

Summary:
Its calculated volume is 439.0 Å³/cell. Its energy relative to the lowest polymorph listed for this composition is 0.2610 eV per atom. Its energy relative to the elements, uncorrected is -266.5 meV per atom.

Lattice parameters (Å, degrees): 7.6001 7.6001 7.6001 90.00 90.00 90.00
Closest atoms and distances in Å follow each position.
Space group F-43m (No. 216)
Unique sites:
Ac (0.0000, 0.0000, 0.0000) (multiplicity 4)  4 Al 3.29, 4 Si 3.29
Nd (0.0000, 0.0000, 0.5000) (multiplicity 4)  4 Al 3.29, 4 Si 3.29
Al (0.2500, 0.2500, 0.2500) (multiplicity 4)  4 Ac 3.29, 4 Nd 3.29
Si (0.2500, 0.2500, 0.7500) (multiplicity 4)  4 Ac 3.29, 4 Nd 3.29

=====

VASP calculation (PBE) on crystalline AcNd2Al2Si2 at its relaxed geometry.

Summary:
Its calculated volume is 556.9 Å³/cell. Its energy relative to the elements, uncorrected is -467.3 meV per atom.

Lattice parameters (Å, degrees): 4.2165 4.2165 36.1720 90.00 90.00 120.00
Closest atoms and distances in Å follow each position.
Space group R-3m (No. 166, hexagonal axes)
Unique sites:
Ac (0.0000, 0.0000, 0.0000) (multiplicity 3)  6 Si 3.33, 6 Al 3.51
Nd (0.0000, 0.0000, 0.1241) (multiplicity 6)  3 Al 3.13, 3 Si 3.29
Al (0.0000, 0.0000, 0.2635) (multiplicity 6)  3 Si 2.45
Si (0.0000, 0.0000, 0.3961) (multiplicity 6)  3 Al 2.45

=====

VASP calculation (PBE) on crystalline AcNdAl2Si2 at its relaxed geometry.

Summary:
Its calculated volume is 139.8 Å³/cell. Its energy relative to the elements, uncorrected is -604.2 meV per atom.

Lattice parameters (Å, degrees): 4.2572 4.2572 8.9063 90.00 90.00 120.00
Closest atoms and distances in Å follow each position.
Space group P-3m1 (No. 164)
Unique sites:
Ac (0.0000, 0.0000, 0.0000) (multiplicity 1)  6 Al 3.39, 6 Si 3.42
Nd (0.0000, 0.0000, 0.5000) (multiplicity 1)  6 Si 3.22, 6 Al 3.25
Al (0.3333, 0.6667, 0.7384) (multiplicity 2)  3 Si 2.46
Si (0.3333, 0.6667, 0.2666) (multiplicity 2)  3 Al 2.46

=====

VASP calculation (PBE) on crystalline AcNdAl2Si at its relaxed geometry.

Summary:
Its calculated volume is 262.4 Å³/cell. Its energy relative to the elements, uncorrected is -398.3 meV per atom.

Lattice parameters (Å, degrees): 4.4851 4.6686 12.5335 90.00 90.00 90.00
Closest atoms and distances in Å follow each position.
Space group Imm2 (No. 44)
Unique sites:
Ac (0.0000, 0.0000, 0.0000) (multiplicity 2)  4 Si 3.43, 6 Al 3.51-3.83, 2 Nd 3.80
Nd (0.0000, 0.5000, 0.7607) (multiplicity 2)  2 Si 2.92, 6 Al 3.02-3.24
Al (0.0000, 0.0000, 0.6084) (multiplicity 2)  1 Si 2.49
Al (0.0000, 0.5000, 0.2425) (multiplicity 2)  2 Al 2.80, 2 Si 3.14
Si (0.0000, 0.0000, 0.4097) (multiplicity 2)  1 Al 2.49

=====

VASP calculation (PBE) on crystalline AcNdAlSn at its relaxed geometry.

Summary:
Its calculated volume is 487.2 Å³/cell. The formation energy is -0.400 eV per atom.

Lattice parameters (Å, degrees): 7.8684 7.8684 7.8684 90.00 90.00 90.00
Closest atoms and distances in Å follow each position.
Space group F-43m (No. 216)
Unique sites:
Ac (0.0000, 0.0000, 0.0000) (multiplicity 4)  4 Al 3.41, 4 Sn 3.41
Nd (0.0000, 0.0000, 0.5000) (multiplicity 4)  4 Sn 3.41, 4 Al 3.41
Al (0.2500, 0.2500, 0.7500) (multiplicity 4)  4 Nd 3.41, 4 Ac 3.41
Sn (0.2500, 0.2500, 0.2500) (multiplicity 4)  4 Ac 3.41, 4 Nd 3.41